Computed, not measured: a PBEsol-optimized structure of SrSb2Ir at the meta-GGA SCAN level of DFT.

CIF file:
```
data_SrSb2Ir
_chemical_formula_sum 'Sr3 Sb6 Ir3'
_space_group_name_H-M_alt 'R 3 m'
_space_group_IT_number 160
_space_group_name_Hall 'R 3 -2"'
_cell_length_a 4.2951
_cell_length_b 4.2951
_cell_length_c 19.2544
_cell_angle_alpha 90.00
_cell_angle_beta 90.00
_cell_angle_gamma 120.00
loop_
_atom_site_label
_atom_site_type_symbol
_atom_site_fract_x
_atom_site_fract_y
_atom_site_fract_z
Sr1 Sr 0.0000 0.0000 0.0000
Sb1 Sb 0.0000 0.0000 0.2161
Sb2 Sb 0.0000 0.0000 0.4392
Ir1 Ir 0.0000 0.0000 0.8229
```

Computed properties:
The calculation puts the magnetization at 0.00 μB per formula unit. As for the formation energy from raw total energies: -0.68 eV per atom. As for the total energy: -1.567 hartree per atom.

Computed, not measured: a PBEsol-optimized structure of V2P4S13 at the meta-GGA SCAN level of DFT.

CIF file:
```
data_V2P4S13
_chemical_formula_sum 'V4 P8 S26'
_space_group_name_H-M_alt 'P -1'
_space_group_IT_number 2
_space_group_name_Hall '-P 1'
_cell_length_a 9.122
_cell_length_b 9.619
_cell_length_c 11.537
_cell_angle_alpha 73.23
_cell_angle_beta 71.30
_cell_angle_gamma 70.23
loop_
_atom_site_label
_atom_site_type_symbol
_atom_site_fract_x
_atom_site_fract_y
_atom_site_fract_z
V1 V 0.098 0.014 0.106
V2 V 0.395 0.489 0.396
P1 P 0.001 0.258 0.890
P2 P 0.252 0.430 0.228
P3 P 0.272 0.066 0.255
P4 P 0.369 0.769 0.478
S1 S 0.015 0.176 0.743
S2 S 0.033 0.137 0.279
S3 S 0.063 0.504 0.135
S4 S 0.153 0.844 0.963
S5 S 0.177 0.388 0.414
S6 S 0.193 0.704 0.454
S7 S 0.207 0.197 0.943
S8 S 0.347 0.004 0.424
S9 S 0.361 0.910 0.148
S10 S 0.385 0.727 0.655
S11 S 0.393 0.235 0.152
S12 S 0.401 0.562 0.176
S13 S 0.422 0.366 0.613
```

Computed properties:
The calculation puts the magnetization at 4.00 μB per formula unit. As for the formation energy from raw total energies: -0.52 eV per atom. As for the total energy: -0.409 hartree per atom.

Computed, not measured: a PBEsol-optimized structure of Li2CoSnO4 at the meta-GGA SCAN level of DFT.

CIF file:
```
data_Li2CoSnO4
_chemical_formula_sum 'Li4 Co2 Sn2 O8'
_space_group_name_H-M_alt 'I -4 m 2'
_space_group_IT_number 119
_space_group_name_Hall 'I -4 -2'
_cell_length_a 4.152
_cell_length_b 4.152
_cell_length_c 8.860
_cell_angle_alpha 90.00
_cell_angle_beta 90.00
_cell_angle_gamma 90.00
loop_
_atom_site_label
_atom_site_type_symbol
_atom_site_fract_x
_atom_site_fract_y
_atom_site_fract_z
Li1 Li 0.000 0.000 0.000
Li2 Li 0.000 0.500 0.250
Co1 Co 0.000 0.000 0.500
Sn1 Sn 0.000 0.500 0.750
O1 O 0.000 0.000 0.256
O2 O 0.000 0.500 0.519
```

Computed properties:
The calculation puts the magnetization at 3.00 μB per formula unit. As for the formation energy from raw total energies: -1.80 eV per atom. The calculation puts the excess energy over the best structure of this formula in the dataset at 0.001 eV per atom. As for the total energy: -0.447 hartree per atom.

Computed, not measured: a PBEsol-optimized structure of Rb3BP2 at the meta-GGA SCAN level of DFT.

CIF file:
```
data_Rb3BP2
_chemical_formula_sum 'Rb12 B4 P8'
_space_group_name_H-M_alt 'C 1 2/c 1'
_space_group_IT_number 15
_space_group_name_Hall '-C 2yc'
_cell_length_a 9.472
_cell_length_b 9.139
_cell_length_c 9.310
_cell_angle_alpha 90.00
_cell_angle_beta 110.63
_cell_angle_gamma 90.00
loop_
_atom_site_label
_atom_site_type_symbol
_atom_site_fract_x
_atom_site_fract_y
_atom_site_fract_z
Rb1 Rb 0.000 0.154 0.250
Rb2 Rb 0.206 0.449 0.982
B1 B 0.000 0.216 0.750
P1 P 0.125 0.220 0.645
```

Computed properties:
The calculation puts the formation enthalpy at 0 K at -0.529 eV per atom. The calculation puts the magnetization at 0.00 μB per formula unit. As for the total energy: -0.573 hartree per atom.

Computed, not measured: a PBEsol-optimized structure of K2SrCaCd at the meta-GGA SCAN level of DFT.

CIF file:
```
data_K2SrCaCd
_chemical_formula_sum 'K2 Sr1 Ca1 Cd1'
_space_group_name_H-M_alt 'P 4/m m m'
_space_group_IT_number 123
_space_group_name_Hall '-P 4 2'
_cell_length_a 7.621
_cell_length_b 7.621
_cell_length_c 7.390
_cell_angle_alpha 90.00
_cell_angle_beta 90.00
_cell_angle_gamma 90.00
loop_
_atom_site_label
_atom_site_type_symbol
_atom_site_fract_x
_atom_site_fract_y
_atom_site_fract_z
K1 K 0.000 0.500 0.000
Sr1 Sr 0.000 0.000 0.000
Ca1 Ca 0.000 0.000 0.500
Cd1 Cd 0.500 0.500 0.500
```

Computed properties:
The calculation puts the formation enthalpy at 0 K at 0.766 eV per atom. The calculation puts the magnetization at 0.03 μB per formula unit. As for the total energy: -0.553 hartree per atom.

Computed, not measured: a PBEsol-optimized structure of KMnIr at the meta-GGA SCAN level of DFT.

CIF file:
```
data_KMnIr
_chemical_formula_sum 'K2 Mn2 Ir2'
_space_group_name_H-M_alt 'I m m 2'
_space_group_IT_number 44
_space_group_name_Hall 'I 2 -2'
_cell_length_a 2.783
_cell_length_b 3.929
_cell_length_c 11.755
_cell_angle_alpha 90.00
_cell_angle_beta 90.00
_cell_angle_gamma 90.00
loop_
_atom_site_label
_atom_site_type_symbol
_atom_site_fract_x
_atom_site_fract_y
_atom_site_fract_z
K1 K 0.000 0.000 0.000
Mn1 Mn 0.000 0.000 0.269
Ir1 Ir 0.000 0.000 0.721
```

Computed properties:
The calculation puts the formation enthalpy at 0 K at 0.197 eV per atom. The calculation puts the magnetization at 3.90 μB per formula unit. As for the total energy: -1.189 hartree per atom.

Computed, not measured: a PBEsol-optimized structure of MgNiRh3 at the meta-GGA SCAN level of DFT.

CIF file:
```
data_MgNiRh3
_chemical_formula_sum 'Mg1 Ni1 Rh3'
_space_group_name_H-M_alt 'P m -3 m'
_space_group_IT_number 221
_space_group_name_Hall '-P 4 2 3'
_cell_length_a 4.369
_cell_length_b 4.369
_cell_length_c 4.369
_cell_angle_alpha 90.00
_cell_angle_beta 90.00
_cell_angle_gamma 90.00
loop_
_atom_site_label
_atom_site_type_symbol
_atom_site_fract_x
_atom_site_fract_y
_atom_site_fract_z
Mg1 Mg 0.000 0.000 0.000
Ni1 Ni 0.500 0.500 0.500
Rh1 Rh 0.000 0.000 0.500
```

Computed properties:
The calculation puts the formation enthalpy at 0 K at 1.428 eV per atom. The calculation puts the magnetization at 3.79 μB per formula unit. As for the total energy: -0.848 hartree per atom.

Computed, not measured: a PBEsol-optimized structure of HgBO2 at the meta-GGA SCAN level of DFT.

CIF file:
```
data_HgBO2
_chemical_formula_sum 'Hg3 B3 O6'
_space_group_name_H-M_alt 'R -3 m'
_space_group_IT_number 166
_space_group_name_Hall '-R 3 2"'
_cell_length_a 2.6555
_cell_length_b 2.6555
_cell_length_c 19.6652
_cell_angle_alpha 90.00
_cell_angle_beta 90.00
_cell_angle_gamma 120.00
loop_
_atom_site_label
_atom_site_type_symbol
_atom_site_fract_x
_atom_site_fract_y
_atom_site_fract_z
Hg1 Hg 0.0000 0.0000 0.0000
B1 B 0.0000 0.0000 0.5000
O1 O 0.0000 0.0000 0.1242
```

Computed properties:
The calculation puts the magnetization at 0.00 μB per formula unit. As for the formation energy from raw total energies: -0.70 eV per atom. As for the total energy: -0.835 hartree per atom.

Computed, not measured: a PBEsol-optimized structure of Y2ZrHg at the meta-GGA SCAN level of DFT.

CIF file:
```
data_Y2ZrHg
_chemical_formula_sum 'Y2 Zr1 Hg1'
_space_group_name_H-M_alt 'P 4/m m m'
_space_group_IT_number 123
_space_group_name_Hall '-P 4 2'
_cell_length_a 4.640
_cell_length_b 4.640
_cell_length_c 4.515
_cell_angle_alpha 90.00
_cell_angle_beta 90.00
_cell_angle_gamma 90.00
loop_
_atom_site_label
_atom_site_type_symbol
_atom_site_fract_x
_atom_site_fract_y
_atom_site_fract_z
Y1 Y 0.000 0.500 0.000
Zr1 Zr 0.000 0.000 0.500
Hg1 Hg 0.500 0.500 0.500
```

Computed properties:
The calculation puts the formation enthalpy at 0 K at -0.239 eV per atom. The calculation puts the magnetization at 1.90 μB per formula unit. As for the total energy: -1.429 hartree per atom.

Computed, not measured: a PBEsol-optimized structure of Si2AsO at the meta-GGA SCAN level of DFT.

CIF file:
```
data_Si2AsO
_chemical_formula_sum 'Si8 As4 O4'
_space_group_name_H-M_alt 'I -4 2 d'
_space_group_IT_number 122
_space_group_name_Hall 'I -4 2bw'
_cell_length_a 4.413
_cell_length_b 4.413
_cell_length_c 12.386
_cell_angle_alpha 90.00
_cell_angle_beta 90.00
_cell_angle_gamma 90.00
loop_
_atom_site_label
_atom_site_type_symbol
_atom_site_fract_x
_atom_site_fract_y
_atom_site_fract_z
Si1 Si 0.135 0.250 0.125
As1 As 0.000 0.000 0.500
O1 O 0.000 0.000 0.000
```

Computed properties:
The calculation puts the magnetization at 0.00 μB per formula unit. As for the formation energy from raw total energies: -0.21 eV per atom. As for the total energy: -0.434 hartree per atom.

Computed, not measured: a PBEsol-optimized structure of BeSiRu2 at the meta-GGA SCAN level of DFT.

CIF file:
```
data_BeSiRu2
_chemical_formula_sum 'Be1 Si1 Ru2'
_space_group_name_H-M_alt 'P 4/m m m'
_space_group_IT_number 123
_space_group_name_Hall '-P 4 2'
_cell_length_a 2.850
_cell_length_b 2.850
_cell_length_c 5.603
_cell_angle_alpha 90.00
_cell_angle_beta 90.00
_cell_angle_gamma 90.00
loop_
_atom_site_label
_atom_site_type_symbol
_atom_site_fract_x
_atom_site_fract_y
_atom_site_fract_z
Be1 Be 0.000 0.000 0.000
Si1 Si 0.000 0.000 0.500
Ru1 Ru 0.500 0.500 0.245
```

Computed properties:
The calculation puts the magnetization at 0.00 μB per formula unit. As for the formation energy from raw total energies: -0.61 eV per atom. The calculation puts the excess energy over the best structure of this formula in the dataset at 0.067 eV per atom. As for the total energy: -0.794 hartree per atom.

Computed, not measured: a PBEsol-optimized structure of Nb2AlB6 at the meta-GGA SCAN level of DFT.

CIF file:
```
data_Nb2AlB6
_chemical_formula_sum 'Nb2 Al1 B6'
_space_group_name_H-M_alt 'P 6/m m m'
_space_group_IT_number 191
_space_group_name_Hall '-P 6 2'
_cell_length_a 3.0328
_cell_length_b 3.0328
_cell_length_c 10.1597
_cell_angle_alpha 90.00
_cell_angle_beta 90.00
_cell_angle_gamma 120.00
loop_
_atom_site_label
_atom_site_type_symbol
_atom_site_fract_x
_atom_site_fract_y
_atom_site_fract_z
Nb1 Nb 0.0000 0.0000 0.1646
Al1 Al 0.0000 0.0000 0.5000
B1 B 0.3333 0.6667 0.0000
B2 B 0.3333 0.6667 0.3409
```

Computed properties:
The calculation puts the formation enthalpy at 0 K at -0.484 eV per atom. The calculation puts the magnetization at 0.00 μB per formula unit. As for the total energy: -0.502 hartree per atom.

Computed, not measured: a PBEsol-optimized structure of RbZr3Re at the meta-GGA SCAN level of DFT.

CIF file:
```
data_RbZr3Re
_chemical_formula_sum 'Rb1 Zr3 Re1'
_space_group_name_H-M_alt 'P m -3 m'
_space_group_IT_number 221
_space_group_name_Hall '-P 4 2 3'
_cell_length_a 4.812
_cell_length_b 4.812
_cell_length_c 4.812
_cell_angle_alpha 90.00
_cell_angle_beta 90.00
_cell_angle_gamma 90.00
loop_
_atom_site_label
_atom_site_type_symbol
_atom_site_fract_x
_atom_site_fract_y
_atom_site_fract_z
Rb1 Rb 0.000 0.000 0.000
Zr1 Zr 0.000 0.000 0.500
Re1 Re 0.500 0.500 0.500
```

Computed properties:
The calculation puts the formation enthalpy at 0 K at 2.573 eV per atom. The calculation puts the magnetization at 0.09 μB per formula unit. As for the total energy: -1.257 hartree per atom.